1) First-principles (PBE-GGA) data for crystalline Pu2HfAu at its relaxed geometry, as listed in the Alexandria database.

Calculated values
- crystal system = tetragonal

Geometry as POSCAR:
```
Pu2HfAu
1.0
3.9380 0.0000 0.0000
0.0000 3.9380 0.0000
0.0000 0.0000 6.1575
Hf Au Pu
1 1 2
Cartesian
1.9690 1.9690 3.0787 Hf
1.9690 1.9690 0.0000 Au
0.0000 0.0000 4.6971 Pu
0.0000 0.0000 1.4604 Pu
```


2) First-principles (PBE-GGA) data for crystalline Pu2HfAu at its relaxed geometry, as listed in the Alexandria database.

Calculated values
- crystal system = tetragonal

Geometry as POSCAR:
```
Pu2HfAu
1.0
-0.6968 4.4863 -2.2096
1.6326 -1.5003 -3.5609
-3.8204 -1.2058 -1.2436
Hf Au Pu
1 1 2
Cartesian
-1.4423 0.8901 -3.5070 Hf
-0.3484 2.2432 -1.1048 Au
-1.9102 -0.6029 -0.6218 Pu
0.8163 -0.7501 -1.7804 Pu
```


What should be chosen as the most stable of them? Choose 2).


1) First-principles (PBE-GGA) data for crystalline RbHfAu3 at its relaxed geometry, as listed in the Alexandria database.

Calculated values
- crystal system = cubic

Geometry as POSCAR:
```
RbHfAu3
1.0
-1.1410 -0.6391 5.2312
-5.0795 -1.2928 -1.2659
1.4043 -5.1958 -0.3284
Hf Au Rb
1 3 1
Cartesian
0.0000 0.0000 0.0000 Hf
-2.5398 -0.6464 -0.6330 Au
0.7021 -2.5979 -0.1642 Au
-0.5705 -0.3195 2.6156 Au
-2.4082 -3.5638 1.8184 Rb
```


2) First-principles (PBE-GGA) data for crystalline RbHfAu3 at its relaxed geometry, as listed in the Alexandria database.

Calculated values
- crystal system = cubic

Geometry as POSCAR:
```
RbHfAu3
1.0
5.4437 0.0000 0.0000
0.0000 5.4437 0.0000
0.0000 0.0000 5.4437
Hf Au Rb
1 3 1
Cartesian
2.7218 2.7218 2.7218 Hf
0.0000 2.7218 0.0000 Au
0.0000 0.0000 2.7218 Au
2.7218 0.0000 0.0000 Au
0.0000 0.0000 0.0000 Rb
```


What should be chosen as the most stable of them? Choose 1).


1) First-principles (PBE-GGA) data for crystalline RbHf2Au2 at its relaxed geometry, as listed in the Alexandria database.

Calculated values
- crystal system = tetragonal

Geometry as POSCAR:
```
RbHf2Au2
1.0
8.7345 0.0000 0.0000
0.0000 8.7345 0.0000
0.0000 0.0000 3.0474
Hf Au Rb
4 4 2
Cartesian
3.3040 7.6712 0.0000 Hf
7.6712 5.4306 0.0000 Hf
5.4306 1.0633 0.0000 Hf
1.0633 3.3040 0.0000 Hf
1.4792 5.8465 1.5237 Au
5.8465 7.2553 1.5237 Au
7.2553 2.8880 1.5237 Au
2.8880 1.4792 1.5237 Au
0.0000 0.0000 0.0000 Rb
4.3673 4.3673 0.0000 Rb
```


2) First-principles (PBE-GGA) data for crystalline RbHf2Au2 at its relaxed geometry, as listed in the Alexandria database.

Calculated values
- crystal system = tetragonal

Geometry as POSCAR:
```
RbHf2Au2
1.0
-0.3196 -4.6705 0.9437
4.4825 -0.6155 -1.5281
4.0577 -1.6849 5.1187
Hf Au Rb
2 2 1
Cartesian
2.9097 -4.4993 2.8851 Hf
5.3108 -2.4717 1.6492 Hf
2.5843 -2.3992 1.0846 Au
5.6362 -4.5718 3.4497 Au
0.0000 0.0000 0.0000 Rb
```


What should be chosen as the most stable of them? Choose 1).


1) First-principles (PBE-GGA) data for crystalline Hf3ReAu at its relaxed geometry, as listed in the Alexandria database.

Calculated values
- crystal system = cubic

Geometry as POSCAR:
```
Hf3ReAu
1.0
5.0019 0.0000 0.0000
0.0000 5.0019 0.0000
0.0000 0.0000 5.0019
Re Hf Au
1 3 1
Cartesian
0.0000 0.0000 0.0000 Re
0.0000 2.5010 0.0000 Hf
0.0000 0.0000 2.5010 Hf
2.5010 0.0000 0.0000 Hf
2.5010 2.5010 2.5010 Au
```


2) First-principles (PBE-GGA) data for crystalline Hf3ReAu at its relaxed geometry, as listed in the Alexandria database.

Calculated values
- crystal system = cubic

Geometry as POSCAR:
```
Hf3ReAu
1.0
-0.7810 -3.0175 -3.8933
3.6942 -2.9663 1.5579
-3.2582 -2.6398 2.6997
Re Hf Au
1 3 1
Cartesian
-0.1725 -4.3118 0.1822 Re
1.8471 -1.4831 0.7790 Hf
-1.6291 -1.3199 1.3498 Hf
-0.3905 -1.5088 -1.9466 Hf
0.0000 0.0000 0.0000 Au
```


What should be chosen as the most stable of them? Choose 1).


1) First-principles (PBE-GGA) data for crystalline HfRe3Au at its relaxed geometry, as listed in the Alexandria database.

Calculated values
- crystal system = cubic

Geometry as POSCAR:
```
HfRe3Au
1.0
4.7760 0.0000 0.0000
0.0000 4.7760 0.0000
0.0000 0.0000 4.7760
Re Hf Au
3 1 1
Cartesian
0.0000 2.3880 0.0000 Re
0.0000 0.0000 2.3880 Re
2.3880 0.0000 0.0000 Re
2.3880 2.3880 2.3880 Hf
0.0000 0.0000 0.0000 Au
```


2) First-principles (PBE-GGA) data for crystalline HfRe3Au at its relaxed geometry, as listed in the Alexandria database.

Calculated values
- crystal system = cubic

Geometry as POSCAR:
```
HfRe3Au
1.0
-2.5670 0.7951 3.8980
0.4945 -4.5393 1.2515
3.9474 1.0856 2.3781
Re Hf Au
3 1 1
Cartesian
0.2472 -2.2697 0.6257 Re
1.9737 0.5428 1.1891 Re
-1.2835 0.3975 1.9490 Re
0.0000 0.0000 0.0000 Hf
0.9374 -1.3293 3.7638 Au
```


What should be chosen as the most stable of them? Choose 1).


1) First-principles (PBE-GGA) data for crystalline HfRhAu at its relaxed geometry, as listed in the Alexandria database.

Calculated values
- crystal system = orthorhombic

Geometry as POSCAR:
```
HfRhAu
1.0
-2.1567 2.9459 2.9426
-4.4305 -3.2319 -0.0117
3.0026 -4.1392 6.3446
Hf Rh Au
4 4 4
Cartesian
-0.4661 -4.0271 3.6901 Hf
2.7549 -3.7977 5.8211 Hf
0.1751 -0.2550 4.1199 Hf
-3.0459 -0.4845 1.9889 Hf
1.7560 -2.4207 3.7104 Rh
0.5328 -5.4042 5.8008 Rh
-0.8238 1.1220 2.0092 Rh
-2.0470 -1.8615 4.0996 Rh
0.0659 -2.4392 6.2265 Au
-2.5720 -3.4588 1.5776 Au
-2.1495 -4.0552 6.2207 Au
-0.3569 -1.8430 1.5834 Au
```


2) First-principles (PBE-GGA) data for crystalline HfRhAu at its relaxed geometry, as listed in the Alexandria database.

Calculated values
- crystal system = trigonal

Geometry as POSCAR:
```
HfRhAu
1.0
-2.0643 -2.0949 0.6228
-0.5932 -0.7265 -4.4098
3.0882 -2.3655 2.2789
Hf Au Rh
1 1 1
Cartesian
-0.6356 -2.5612 -1.7972 Hf
-2.0528 -2.0834 0.6194 Au
1.0549 -2.6373 0.2926 Rh
```


3) First-principles (PBE-GGA) data for crystalline HfRhAu at its relaxed geometry, as listed in the Alexandria database.

Calculated values
- crystal system = tetragonal

Geometry as POSCAR:
```
HfRhAu
1.0
3.4244 0.0000 0.0000
0.0000 3.4244 0.0000
-1.7122 -1.7122 4.5094
Au Hf Rh
1 1 1
Cartesian
1.7122 1.7122 1.0710 Au
0.0000 0.0000 2.6556 Hf
1.7122 1.7122 3.9394 Rh
```


4) First-principles (PBE-GGA) data for crystalline HfRhAu at its relaxed geometry, as listed in the Alexandria database.

Calculated values
- crystal system = orthorhombic

Geometry as POSCAR:
```
HfRhAu
1.0
4.8158 0.0317 -1.2676
-2.7679 3.9411 -1.2676
0.0568 0.1102 5.4261
Hf Rh Au
2 2 2
Cartesian
-1.7941 3.5088 1.4454 Hf
0.0735 2.4764 -1.2676 Hf
0.5968 2.2764 1.4454 Rh
2.4643 1.2439 -1.2676 Rh
-2.5490 3.8282 -1.2676 Au
3.1672 0.9514 1.4454 Au
```


What should be chosen as the most stable of them? Choose 4).


1) First-principles (PBE-GGA) data for crystalline HfRuRh2Au at its relaxed geometry, as listed in the Alexandria database.

Calculated values
- crystal system = tetragonal

Geometry as POSCAR:
```
HfRuRh2Au
1.0
4.5834 0.0000 0.0000
0.0000 4.9889 0.0000
0.0000 0.0000 4.5834
Hf Au Rh Ru
1 1 2 1
Cartesian
2.2917 2.4945 2.2917 Hf
0.0000 2.4945 0.0000 Au
0.0000 0.0000 2.2917 Rh
2.2917 0.0000 0.0000 Rh
0.0000 0.0000 0.0000 Ru
```


2) First-principles (PBE-GGA) data for crystalline HfRuRh2Au at its relaxed geometry, as listed in the Alexandria database.

Calculated values
- crystal system = tetragonal

Geometry as POSCAR:
```
HfRuRh2Au
1.0
4.6796 0.0000 0.0000
0.0000 4.8262 0.0000
0.0000 0.0000 4.6796
Hf Au Rh Ru
1 1 2 1
Cartesian
0.0000 2.4131 0.0000 Hf
2.3398 2.4131 2.3398 Au
0.0000 0.0000 2.3398 Rh
2.3398 0.0000 0.0000 Rh
0.0000 0.0000 0.0000 Ru
```


What should be chosen as the most stable of them? Choose 2).


1) First-principles (PBE-GGA) data for crystalline Hf3RuAu at its relaxed geometry, as listed in the Alexandria database.

Calculated values
- crystal system = cubic

Geometry as POSCAR:
```
Hf3RuAu
1.0
-2.9499 -2.2461 3.3820
0.2399 -4.2696 -2.6263
4.0528 -1.3821 2.6171
Hf Au Ru
3 1 1
Cartesian
0.1200 -2.1348 -1.3132 Hf
2.0264 -0.6910 1.3085 Hf
-1.4749 -1.1231 1.6910 Hf
0.0000 0.0000 0.0000 Au
0.6714 -3.9489 1.6864 Ru
```


2) First-principles (PBE-GGA) data for crystalline Hf3RuAu at its relaxed geometry, as listed in the Alexandria database.

Calculated values
- crystal system = cubic

Geometry as POSCAR:
```
Hf3RuAu
1.0
-0.7156 -4.7239 1.2014
1.4347 0.9564 4.6149
-4.6583 1.0202 1.2367
Hf Au Ru
3 1 1
Cartesian
0.7173 0.4782 2.3075 Hf
-2.3292 0.5101 0.6184 Hf
-0.3578 -2.3619 0.6007 Hf
-1.9696 -1.3736 3.5265 Au
0.0000 0.0000 0.0000 Ru
```


What should be chosen as the most stable of them? Choose 2).